1.
Material: TmInAgHg
Method: DFT, PBE
State: optimized geometry

```
TmInAgHg
1.0
5.018 0.000 0.000
2.509 4.345 0.000
2.509 1.448 4.097
Ag Tm Hg In
1 1 1 1
direct
0.500 0.500 0.500
0.750 0.750 0.750
0.000 0.000 0.000
0.250 0.250 0.250
```

***

2.
Material: AgGeSe2
Method: DFT, PBE
State: optimized geometry

```
AgGeSe2
1.0
6.006 0.000 0.000
0.000 6.006 0.000
3.003 3.003 6.161
Se Ag Ge
4 2 2
direct
0.875 0.855 0.750
0.605 0.125 0.250
0.375 0.395 0.750
0.145 0.625 0.250
0.750 0.250 0.500
0.000 0.000 0.000
0.500 0.500 0.000
0.250 0.750 0.500
```

***

3.
Material: SrAcEuSn
Method: DFT, PBE
State: optimized geometry

```
SrAcEuSn
1.0
-5.855 -0.217 0.951
-3.349 -3.891 -2.980
-2.378 -4.647 2.827
Eu Ac Sr Sn
1 1 1 1
direct
0.750 0.750 0.750
0.500 0.500 0.500
0.000 0.000 0.000
0.250 0.250 0.250
```

***

VASP energy, respectively: -11.6 -29.7 -20.9 eV for the cell shown.
V, respectively: 22.3 27.8 37.0 A^3/atom.
Total moment, respectively: 0.00 0.00 1.91 μB/atom.